Density functional theory data (PBE) for a geometry-optimized PmEuAlPd structure.

DOS(E_F) = 7.8 states/eV/cell
final energy = -6.413 eV per atom
space group = No. 216
formation energy = -423 meV/atom

Cell and atoms, written as extended XYZ:
```
4
Lattice="5.210 0.000 0.000 2.605 4.512 0.000 2.605 1.504 4.254" Properties=species:S:1:pos:R:3 pbc="T T T"
Eu 0.000 0.000 0.000
Al 2.605 1.504 1.063
Pd 7.815 4.512 3.190
Pm 5.210 3.008 2.127
```